# Mn2AlAu

An optimized crystal structure of Mn2AlAu (GGA-PBE, Alexandria via LeMat-Bulk).

## Properties
SG ... P4mm (99)
Crystal system ... tetragonal
Formation energy ... -125.2 meV/atom
Relative energy among the computed polymorphs ... 0.000 eV/atom

a b c (Å): 2.869 2.867 7.503
angles (deg): 67.51 90.00 90.00
Last column: magnetic moment on the atom in μB.
Atoms (fractional coordinates):
Mn  0.500  0.253  0.247  -1.61
Mn  0.000  0.965  0.035  3.22
Au  0.500  0.754  0.746  0.02
Al  0.000  0.528  0.472  0.03

***

# Tb2Dy7Mg2

An optimized crystal structure of Tb2Dy7Mg2 (GGA-PBE, Alexandria via LeMat-Bulk).

## Properties
SG ... C2/m (12)
Crystal system ... monoclinic
Formation energy ... 166.4 meV/atom

a b c (Å): 5.670 8.067 8.067
angles (deg): 87.25 74.46 74.46
Atoms (fractional coordinates):
Mg  0.784  0.437  0.437
Dy  0.663  0.775  0.775
Mg  0.216  0.563  0.563
Dy  0.184  0.602  0.018
Dy  0.816  0.982  0.398
Dy  0.816  0.398  0.982
Dy  0.000  0.000  0.000
Tb  0.500  0.221  0.779
Tb  0.500  0.779  0.221
Dy  0.184  0.018  0.602
Dy  0.337  0.225  0.225

***

# ThP3Ir6

An optimized crystal structure of ThP3Ir6 (GGA-PBE, Alexandria via LeMat-Bulk).

## Properties
SG ... P1 (1)
Crystal system ... triclinic
Formation energy ... -509.1 meV/atom

a b c (Å): 6.582 6.315 5.464
angles (deg): 84.44 111.77 126.81
Atoms (fractional coordinates):
P  0.202  0.068  0.367
Ir  0.409  0.931  0.737
Ir  0.901  0.447  0.718
P  0.597  0.350  0.918
P  0.337  0.691  0.087
Ir  0.299  0.442  0.648
Th  0.890  0.929  0.780
Ir  0.817  0.066  0.243
Ir  0.037  0.615  0.258
Ir  0.510  0.461  0.244

***

# CoOsSe2

An optimized crystal structure of CoOsSe2 (GGA-PBE, Alexandria via LeMat-Bulk).

## Properties
SG ... Immm (71)
Energy relative to the elements, uncorrected ... 3.30 eV/f.u.
Crystal system ... orthorhombic
Relative energy among the computed polymorphs ... 0.877 eV/atom

a b c (Å): 5.016 5.016 5.016
angles (deg): 144.15 112.74 78.63
Last column: magnetic moment on the atom in μB.
Atoms (fractional coordinates):
Se  0.996  0.996  0.000  0.09
Os  0.250  0.750  0.500  0.25
Co  0.750  0.250  0.500  1.65
Se  0.504  0.504  0.000  0.09

***

# TmGa3Br6

An optimized crystal structure of TmGa3Br6 (GGA-PBE, Alexandria via LeMat-Bulk).

## Properties
SG ... P2_1/c (14)
Energy relative to the elements, uncorrected ... -10.64 eV/f.u.
Crystal system ... monoclinic

a b c (Å): 7.364 8.370 10.933
angles (deg): 90.00 92.82 90.00
Atoms (fractional coordinates):
Br  0.361  0.565  0.265
Ga  0.500  0.500  0.000
Br  0.861  0.935  0.765
Ga  0.000  0.000  0.500
Br  0.684  0.168  0.042
Ga  0.981  0.407  0.293
Br  0.184  0.332  0.542
Ga  0.019  0.593  0.707
Br  0.316  0.832  0.958
Ga  0.519  0.907  0.207
Br  0.166  0.274  0.916
Br  0.816  0.668  0.458
Br  0.334  0.774  0.584
Br  0.139  0.065  0.235
Br  0.834  0.726  0.084
Br  0.666  0.226  0.416
Tm  0.500  0.500  0.500
Tm  0.000  0.000  0.000
Ga  0.481  0.093  0.793
Br  0.639  0.435  0.735

***

# Dy15Tm4In

An optimized crystal structure of Dy15Tm4In (GGA-PBE, Alexandria via LeMat-Bulk).

## Properties
SG ... P4/mmm (123)
Crystal system ... tetragonal
Formation energy ... -34.2 meV/atom

a b c (Å): 4.943 4.943 25.015
angles (deg): 90.00 90.00 90.00
Atoms (fractional coordinates):
Tm  0.000  0.000  0.399
Dy  0.500  0.000  0.097
Dy  0.500  0.000  0.299
Dy  0.500  0.000  0.701
Dy  0.500  0.500  0.399
Dy  0.000  0.500  0.903
Dy  0.000  0.500  0.097
Dy  0.500  0.500  0.000
Tm  0.000  0.000  0.601
Dy  0.500  0.500  0.804
Dy  0.000  0.500  0.299
Tm  0.000  0.000  0.802
Dy  0.500  0.000  0.500
Dy  0.000  0.500  0.701
In  0.000  0.000  0.000
Dy  0.500  0.500  0.601
Dy  0.500  0.000  0.903
Dy  0.500  0.500  0.196
Tm  0.000  0.000  0.198
Dy  0.000  0.500  0.500

***

# CsK2Hg

An optimized crystal structure of CsK2Hg (GGA-PBE, Alexandria via LeMat-Bulk).

## Properties
SG ... P4/mmm (123)
Crystal system ... tetragonal
Formation energy ... -89.1 meV/atom

a b c (Å): 4.564 4.564 11.764
angles (deg): 90.00 90.00 90.00
Atoms (fractional coordinates):
Hg  0.500  0.500  0.000
K  0.000  0.000  0.168
K  0.000  0.000  0.832
Cs  0.500  0.500  0.500

***

# MnCuCl2

An optimized crystal structure of MnCuCl2 (GGA-PBE, Alexandria via LeMat-Bulk).

## Properties
SG ... C2/m (12)
Energy relative to the elements, uncorrected ... -1.25 eV/f.u.
Crystal system ... monoclinic
Relative energy among the computed polymorphs ... 0.050 eV/atom

a b c (Å): 6.645 6.645 4.274
angles (deg): 81.67 81.67 30.62
Last column: magnetic moment on the atom in μB.
Atoms (fractional coordinates):
Cu  0.250  0.250  0.250  0.00
Mn  0.750  0.750  0.750  3.87
Cl  0.379  0.379  0.561  0.03
Cl  0.121  0.121  0.939  0.03

***

# AcTbPrGd

An optimized crystal structure of AcTbPrGd (GGA-PBE, Alexandria via LeMat-Bulk).

## Properties
SG ... F-43m (216)
Crystal system ... cubic
Formation energy ... 139.3 meV/atom

a b c (Å): 5.910 5.910 5.910
angles (deg): 60.00 60.00 60.00
Last column: magnetic moment on the atom in μB.
Atoms (fractional coordinates):
Tb  0.000  0.000  0.000  0.26
Pr  0.750  0.750  0.750  0.13
Ac  0.500  0.500  0.500  0.13
Gd  0.250  0.250  0.250  7.38

***

# SbTe2AsAu

An optimized crystal structure of SbTe2AsAu (GGA-PBE, Alexandria via LeMat-Bulk).

## Properties
SG ... P4/mmm (123)
Energy relative to the elements, uncorrected ... 3.85 eV/f.u.
Crystal system ... tetragonal
Relative energy among the computed polymorphs ... 0.017 eV/atom

a b c (Å): 5.492 5.492 5.225
angles (deg): 90.00 90.00 90.00
Atoms (fractional coordinates):
Au  0.500  0.500  0.500
Sb  0.000  0.000  0.500
Te  0.000  0.500  0.000
As  0.000  0.000  0.000
Te  0.500  0.000  0.000

***

# HfMgSb3

An optimized crystal structure of HfMgSb3 (GGA-PBE, Alexandria via LeMat-Bulk).

## Properties
SG ... Pm-3m (221)
Energy relative to the elements, uncorrected ... 1.22 eV/f.u.
Crystal system ... cubic
Relative energy among the computed polymorphs ... 0.000 eV/atom

a b c (Å): 5.505 5.505 5.505
angles (deg): 90.00 90.00 90.00
Atoms (fractional coordinates):
Mg  0.500  0.500  0.500
Sb  0.000  0.000  0.500
Hf  0.000  0.000  0.000
Sb  0.000  0.500  0.000
Sb  0.500  0.000  0.000

***

# PaAs2Ru

An optimized crystal structure of PaAs2Ru (GGA-PBE, Alexandria via LeMat-Bulk).

## Properties
SG ... I4/mmm (139)
Crystal system ... tetragonal
Formation energy ... -776.4 meV/atom
Relative energy among the computed polymorphs ... 0.000 eV/atom

a b c (Å): 4.143 4.143 9.390
angles (deg): 102.74 102.74 90.00
Atoms (fractional coordinates):
As  0.500  0.000  0.000
As  0.670  0.670  0.340
Ru  0.750  0.250  0.500
As  0.000  0.500  0.000
Pa  0.120  0.120  0.240
Ru  0.250  0.750  0.500
Pa  0.880  0.880  0.760
As  0.330  0.330  0.660

***

# Tc2AsW

An optimized crystal structure of Tc2AsW (GGA-PBE, Alexandria via LeMat-Bulk).

## Properties
SG ... I-42d (122)
Crystal system ... tetragonal
Formation energy ... 1003.8 meV/atom

a b c (Å): 5.888 5.888 6.497
angles (deg): 63.06 63.06 90.00
Atoms (fractional coordinates):
As  0.250  0.750  0.500
Tc  0.619  0.125  0.250
Tc  0.131  0.625  0.250
Tc  0.375  0.381  0.750
W  0.000  0.000  0.000
As  0.500  0.500  0.000
W  0.750  0.250  0.500
Tc  0.875  0.869  0.750

***

# LiSc2CuO

An optimized crystal structure of LiSc2CuO (GGA-PBE, Alexandria via LeMat-Bulk).

## Properties
SG ... P4/mmm (123)
Energy relative to the elements, uncorrected ... -6.12 eV/f.u.
Crystal system ... tetragonal

a b c (Å): 4.396 4.396 3.774
angles (deg): 90.00 90.00 90.00
Atoms (fractional coordinates):
Cu  0.500  0.500  0.500
Sc  0.000  0.500  0.000
Sc  0.500  0.000  0.000
O  0.000  0.000  0.000
Li  0.000  0.000  0.500

***

# Ta2ZnSe

An optimized crystal structure of Ta2ZnSe (GGA-PBE, Alexandria via LeMat-Bulk).

## Properties
SG ... R3m (160)
Energy relative to the elements, uncorrected ... -0.13 eV/f.u.
Crystal system ... trigonal
Relative energy among the computed polymorphs ... 0.000 eV/atom

a b c (Å): 9.113 9.113 9.113
angles (deg): 20.22 20.22 20.22
Atoms (fractional coordinates):
Se  0.737  0.737  0.737
Ta  0.002  0.002  0.002
Zn  0.508  0.508  0.508
Ta  0.253  0.253  0.253

***

# CeLuZn

An optimized crystal structure of CeLuZn (GGA-PBE, Alexandria via LeMat-Bulk).

## Properties
SG ... I4mm (107)
Crystal system ... tetragonal
Formation energy ... -132.1 meV/atom
Relative energy among the computed polymorphs ... 0.000 eV/atom

a b c (Å): 3.476 3.476 6.706
angles (deg): 105.02 105.02 90.00
Last column: magnetic moment on the atom in μB.
Atoms (fractional coordinates):
Zn  0.675  0.675  0.349  0.00
Lu  0.311  0.311  0.622  0.10
Ce  0.015  0.015  0.029  0.70

***

# LiMgCr2

An optimized crystal structure of LiMgCr2 (GGA-PBE, Alexandria via LeMat-Bulk).

## Properties
SG ... Cmmm (65)
Crystal system ... orthorhombic
Formation energy ... 624.0 meV/atom

a b c (Å): 2.480 2.480 9.265
angles (deg): 90.00 90.00 104.52
Atoms (fractional coordinates):
Cr  0.000  0.000  0.000
Mg  0.500  0.500  0.750
Li  0.500  0.500  0.250
Cr  0.000  0.000  0.500

***

# SrCa2Be

An optimized crystal structure of SrCa2Be (GGA-PBE, Alexandria via LeMat-Bulk).

## Properties
SG ... R3m (160)
Crystal system ... trigonal
Formation energy ... 354.6 meV/atom

a b c (Å): 10.916 10.916 10.916
angles (deg): 21.30 21.30 21.30
Atoms (fractional coordinates):
Ca  0.023  0.023  0.023
Ca  0.254  0.254  0.254
Be  0.746  0.746  0.746
Sr  0.477  0.477  0.477

***

# Ac3Tl4CrSe8

An optimized crystal structure of Ac3Tl4CrSe8 (GGA-PBE, Alexandria via LeMat-Bulk).

## Properties
SG ... R-3m (166)
Energy relative to the elements, uncorrected ... -17.72 eV/f.u.
Crystal system ... trigonal

a b c (Å): 8.778 9.256 8.778
angles (deg): 118.33 120.00 90.00
Last column: magnetic moment on the atom in μB.
Atoms (fractional coordinates):
Ac  0.500  0.500  0.500  0.01
Tl  0.000  0.000  0.000  0.01
Ac  0.500  0.500  0.000  0.01
Cr  0.000  0.500  0.000  3.10
Se  0.742  0.724  0.483  0.00
Se  0.785  0.298  0.013  -0.04
Tl  0.500  0.000  0.500  0.01
Tl  0.500  0.000  0.000  -0.02
Ac  0.000  0.500  0.500  0.01
Tl  0.000  0.000  0.500  0.01
Se  0.258  0.276  0.517  0.00
Se  0.785  0.298  0.570  -0.04
Se  0.773  0.702  0.987  -0.04
Se  0.215  0.702  0.430  -0.04
Se  0.227  0.298  0.013  -0.04
Se  0.215  0.702  0.987  -0.04

***

# InNiHgPd

An optimized crystal structure of InNiHgPd (GGA-PBE, Alexandria via LeMat-Bulk).

## Properties
SG ... F-43m (216)
Crystal system ... cubic
Formation energy ... -104.3 meV/atom

a b c (Å): 4.584 4.584 4.584
angles (deg): 60.00 60.00 60.00
Atoms (fractional coordinates):
Pd  0.250  0.250  0.250
Hg  0.500  0.500  0.500
Ni  0.750  0.750  0.750
In  0.000  0.000  0.000

***

# SrPbCl2

An optimized crystal structure of SrPbCl2 (GGA-PBE, Alexandria via LeMat-Bulk).

## Properties
SG ... P2/m (10)
Energy relative to the elements, uncorrected ... -4.98 eV/f.u.
Crystal system ... monoclinic
Relative energy among the computed polymorphs ... 0.226 eV/atom

a b c (Å): 4.747 4.213 6.207
angles (deg): 89.07 90.00 90.00
Atoms (fractional coordinates):
Cl  0.000  0.508  0.510
Pb  0.500  0.250  0.250
Cl  0.000  0.992  0.990
Sr  0.500  0.750  0.750

***

# ScNb3O6

An optimized crystal structure of ScNb3O6 (GGA-PBE, Alexandria via LeMat-Bulk).

## Properties
SG ... P2_1/m (11)
Energy relative to the elements, uncorrected ... -23.74 eV/f.u.
Crystal system ... monoclinic

a b c (Å): 2.992 9.205 8.850
angles (deg): 108.03 90.00 90.00
Atoms (fractional coordinates):
O  0.250  0.071  0.769
Nb  0.250  0.034  0.138
O  0.250  0.250  0.314
O  0.750  0.491  0.292
O  0.750  0.181  0.572
O  0.750  0.380  0.909
Sc  0.750  0.636  0.892
Nb  0.750  0.362  0.477
Sc  0.250  0.364  0.108
Nb  0.750  0.723  0.278
O  0.750  0.750  0.686
Nb  0.250  0.638  0.523
Nb  0.250  0.277  0.722
O  0.250  0.819  0.428
O  0.750  0.929  0.231
O  0.250  0.620  0.091
O  0.250  0.818  0.935
O  0.250  0.509  0.708
O  0.750  0.182  0.065
Nb  0.750  0.966  0.862

***

# BaZn2RhAu

An optimized crystal structure of BaZn2RhAu (GGA-PBE, Alexandria via LeMat-Bulk).

## Properties
SG ... P4/mmm (123)
Crystal system ... tetragonal
Formation energy ... -329.6 meV/atom

a b c (Å): 4.834 4.834 5.356
angles (deg): 90.00 90.00 90.00
Atoms (fractional coordinates):
Ba  0.500  0.500  0.500
Zn  0.500  0.000  0.000
Au  0.000  0.000  0.500
Zn  0.000  0.500  0.000
Rh  0.000  0.000  0.000

***

# TeHPd2

An optimized crystal structure of TeHPd2 (GGA-PBE, Alexandria via LeMat-Bulk).

## Properties
SG ... R-3m (166)
Crystal system ... trigonal
Relative energy among the computed polymorphs ... 0.143 eV/atom

a b c (Å): 4.552 4.552 5.212
angles (deg): 64.11 64.11 60.00
Atoms (fractional coordinates):
Pd  0.876  0.876  0.373
H  0.000  0.000  0.000
Te  0.500  0.500  0.500
Pd  0.124  0.124  0.627

***

# InTcPt2

An optimized crystal structure of InTcPt2 (GGA-PBE, Alexandria via LeMat-Bulk).

## Properties
SG ... Cmmm (65)
Crystal system ... orthorhombic
Formation energy ... -98.1 meV/atom

a b c (Å): 6.318 4.961 2.831
angles (deg): 90.02 63.39 120.62
Last column: magnetic moment on the atom in μB.
Atoms (fractional coordinates):
In  0.500  0.500  0.000  0.00
Pt  0.000  0.000  0.000  0.02
Pt  0.500  0.000  0.500  0.02
Tc  0.000  0.500  0.500  0.16

***

What did we get for spin magnetization? Answer: 1.78 0.00 0.00 2.13 0.00 0.00 0.00 3.99 8.81 0.00 0.00 0.00 0.00 0.00 0.00 1.02 0.00 0.00 3.01 0.00 0.00 0.00 0.00 0.00 0.22 Bohr magnetons per cell, in the order shown.
What did we get for calculated volume? Answer: 14.26 31.13 16.65 16.65 33.65 30.56 61.27 23.76 36.49 31.52 33.37 19.14 21.62 14.59 19.78 25.13 13.79 37.59 32.29 17.03 31.03 11.59 25.04 20.19 16.30 Å³ per atom, in the order shown.
What did we get for total DFT energy (no corrections)? Answer: -25.86 -42.83 -81.91 -22.01 -34.23 -90.34 -3.71 -18.21 -27.04 -14.48 -22.69 -31.18 -34.32 -29.76 -28.59 -12.13 -20.26 -7.99 -77.01 -14.43 -14.06 -90.03 -16.75 -17.01 -25.58 eV/f.u., in the order shown.